No. 1
First-principles (PBE-GGA) data for an optimized crystal structure of La6Nd4Sm, as listed in Alexandria via LeMat-Bulk.

a = 7.080 Å, b = 7.080 Å, c = 9.530 Å
α = 111.81°, β = 111.81°, γ = 90.00°
Atoms (fractional coordinates):
La  0.506  0.506  0.636
La  0.500  0.000  0.000
Nd  0.061  0.726  0.787
Sm  0.500  0.500  0.000
La  0.130  0.130  0.636
Nd  0.939  0.939  0.213
La  0.000  0.500  0.000
Nd  0.726  0.061  0.787
La  0.494  0.870  0.364
Nd  0.274  0.274  0.213
La  0.870  0.494  0.364

Summary:
- energy (eV per formula unit) = -50.534
- energy above the lowest structure with this stoichiometry (kJ/mol of atoms) = 16.1

No. 2
First-principles (PBE-GGA) data for an optimized crystal structure of La3NdSm4, as listed in Alexandria via LeMat-Bulk.

a = 3.547 Å, b = 9.147 Å, c = 9.147 Å
α = 81.82°, β = 78.82°, γ = 78.82°
Atoms (fractional coordinates):
La  0.241  0.759  0.759
Sm  0.366  0.885  0.383
Sm  0.634  0.617  0.115
Nd  0.500  0.000  0.000
Sm  0.634  0.115  0.617
Sm  0.366  0.383  0.885
La  0.000  0.500  0.500
La  0.759  0.241  0.241

Summary:
- energy (eV per formula unit) = -37.516
- energy above the lowest structure with this stoichiometry (kJ/mol of atoms) = 7.4

No. 3
First-principles (PBE-GGA) data for an optimized crystal structure of La6Nd4Sm, as listed in Alexandria via LeMat-Bulk.

a = 6.063 Å, b = 5.813 Å, c = 26.407 Å
α = 90.00°, β = 90.00°, γ = 121.44°
Atoms (fractional coordinates):
La  0.206  0.411  0.897
La  0.500  0.000  0.000
Nd  0.446  0.891  0.124
Nd  0.852  0.705  0.545
La  0.885  0.769  0.683
La  0.115  0.231  0.183
Nd  0.148  0.295  0.045
La  0.794  0.589  0.397
Sm  0.783  0.566  0.250
La  0.794  0.589  0.103
La  0.500  0.000  0.500
La  0.885  0.769  0.817
Sm  0.217  0.434  0.750
La  0.206  0.411  0.603
Nd  0.852  0.705  0.955
Nd  0.554  0.109  0.876
Nd  0.446  0.891  0.376
La  0.559  0.117  0.750
Nd  0.148  0.295  0.455
Nd  0.554  0.109  0.624
La  0.115  0.231  0.317
La  0.441  0.883  0.250

Summary:
- energy (eV per formula unit) = -52.367
- energy above the lowest structure with this stoichiometry (kJ/mol of atoms) = 0.0